Entry from the Alexandria database: a geometry-optimized CaMgCu structure (GGA-PBE).

## Properties
Size of the total moment in Bohr magnetons per cell: 0.0
Crystal system: tetragonal
Formation energy from the elements in eV/f.u.: -0.3
Calculated total energy in Ha/atom: -0.0982

a b c (Å): 4.2908 4.2908 15.2761
angles (deg): 90.00 90.00 90.00
With the nearest neighbours (Å) after each atom.
Space group I4/mmm (No. 139)
Unique sites:
Ca (0.0000, 0.0000, 0.1766) (multiplicity 4)  5 Cu 3.18, 4 Mg 3.45
Mg (0.0000, 0.5000, 0.0000) (multiplicity 4)  4 Cu 2.78, 4 Mg 3.03
Cu (0.0000, 0.0000, 0.3847) (multiplicity 4)  4 Mg 2.78

---

Entry from the Alexandria database: a geometry-optimized Ca3Mg2Cu2 structure (GGA-PBE).

## Properties
Distance to the lowest polymorph of the same formula in eV/atom: 0.051
Size of the total moment in Bohr magnetons per cell: 0.0
Crystal system: monoclinic
Formation energy from the elements in eV/f.u.: 0.2
Calculated total energy in Ha/atom: -0.0900

a b c (Å): 17.6758 3.5126 14.6905
angles (deg): 90.00 125.82 90.00
With the nearest neighbours (Å) after each atom.
Space group C2/m (No. 12)
Unique sites:
Ca (0.1323, 0.0000, 0.1119) (multiplicity 4)  6 Cu 3.10-3.17, 1 Mg 3.44
Ca (0.1494, 0.0000, 0.8777) (multiplicity 4)  3 Cu 2.87-3.04
Ca (0.1893, 0.5000, 0.5557) (multiplicity 4)  2 Cu 2.94
Mg (0.0461, 0.5000, 0.6331) (multiplicity 4)  2 Cu 2.78
Mg (0.0742, 0.0000, 0.2980) (multiplicity 4)  2 Cu 2.85
Cu (0.0155, 0.5000, 0.8905) (multiplicity 4)  2 Mg 2.85, 6 Ca 3.04-3.17
Cu (0.1957, 0.0000, 0.7203) (multiplicity 4)  2 Mg 2.78, 5 Ca 2.87-3.10

---

Entry from the Alexandria database: a geometry-optimized Ca3Mg7Cu2 structure (GGA-PBE).

## Properties
Size of the total moment in Bohr magnetons per cell: 0.0
Crystal system: trigonal
Formation energy from the elements in eV/f.u.: -1.1
Calculated total energy in Ha/atom: -0.0809

a b c (Å): 6.0575 6.0575 28.0534
angles (deg): 90.00 90.00 120.00
With the nearest neighbours (Å) after each atom.
Space group R-3m (No. 166, hexagonal axes)
Unique sites:
Ca (0.0000, 0.0000, 0.0000) (multiplicity 3)  6 Cu 3.50, 12 Mg 3.67
Ca (0.0000, 0.0000, 0.1438) (multiplicity 6)  12 Mg 3.56-3.68, 3 Ca 3.72
Mg (0.0000, 0.0000, 0.5000) (multiplicity 3)  6 Mg 3.14
Mg (0.0018, 0.5009, 0.9262) (multiplicity 18)  2 Cu 2.70-2.72, 2 Mg 3.01
Cu (0.0000, 0.0000, 0.3333) (multiplicity 6)  6 Mg 2.70-2.72

---

Per-record V, Å³ per cell: 281.2 739.6 891.5